Here is a relaxed structure of CrPdN2 from Alexandria via LeMat-Bulk. Energies are from PBEsol.

## Properties
The formation energy without anion corrections comes out at -0.1157 eV/atom.

Lattice parameters (Å, degrees): 5.3981 5.3981 5.3981 130.36 130.36 72.83
Last column: nearest neighbours and their distance in Å.
Positions (direct):
Cr1 0.0000 0.0000 0.0000  4 N 1.78
Cr2 0.7500 0.2500 0.5000  4 N 1.78
Pd1 0.2500 0.7500 0.5000  4 N 2.12
Pd2 0.5000 0.5000 0.0000  4 N 2.12
N1 0.0619 0.6250 0.9369  2 Cr 1.78
N2 0.3750 0.3119 0.4369  2 Cr 1.78
N3 0.6881 0.1250 0.0631  2 Cr 1.78
N4 0.8750 0.9381 0.5631  2 Cr 1.78

***

Here is a relaxed structure of AgPd from Alexandria via LeMat-Bulk. Energies are from PBEsol.

## Properties
The value obtained for the formation energy from the elements is -8 kJ/mol of formula units.

Lattice parameters (Å, degrees): 2.7737 2.7737 4.6356 90.00 90.00 120.00
Last column: nearest neighbours and their distance in Å.
Positions (direct):
Ag1 0.0000 0.0000 0.0000  6 Ag 2.77, 6 Pd 2.82
Pd1 0.3333 0.6667 0.5000  6 Pd 2.77, 6 Ag 2.82

***

Here is a relaxed structure of TbHoIn2 from Alexandria via LeMat-Bulk. Energies are from PBEsol.

## Properties
The value obtained for the formation energy from the elements is -200 kJ/mol of formula units.

Lattice parameters (Å, degrees): 5.2186 5.2186 5.2186 60.00 60.00 60.00
Last column: nearest neighbours and their distance in Å.
Positions (direct):
Tb1 0.0000 0.0000 0.0000  8 In 3.20
Ho1 0.5000 0.5000 0.5000  8 In 3.20
In1 0.2500 0.2500 0.2500  4 Ho 3.20, 4 Tb 3.20
In2 0.7500 0.7500 0.7500  4 Ho 3.20, 4 Tb 3.20